Entry 1:
Compound: BrO
Source: Alexandria via LeMat-Bulk
Functional: PBE-GGA
Structure: optimized geometry

Results
For the total energy, the calculation gives -2.383 eV/atom. Its density of states at the Fermi level is 1.161 states/eV/atom. For the uncorrected formation energy, the calculation gives 1.86 eV/f.u.

Lattice parameters (Å, degrees): 3.7731 3.7731 10.9160 90.00 90.00 120.00
Space group R3m (No. 160, hexagonal axes)
Symmetry-distinct sites (fractional):
Br 0.0000 0.0000 0.0000 [3 per cell]
O 0.0000 0.0000 0.6386 [3 per cell]

---

Entry 2:
Compound: Tb3BiSe3
Source: Alexandria via LeMat-Bulk
Functional: PBE-GGA
Structure: optimized geometry

Results
For the total energy, the calculation gives -5.507 eV/atom. For the uncorrected formation energy, the calculation gives -10.32 eV/f.u.

Lattice parameters (Å, degrees): 8.2959 8.2959 21.8334 90.00 90.00 120.00
Space group R-3 (No. 148, hexagonal axes)
Symmetry-distinct sites (fractional):
Tb 0.0142 0.3915 0.4089 [18 per cell]
Bi 0.0000 0.0000 0.1660 [6 per cell]
Se 0.0173 0.2800 0.6116 [18 per cell]

---

Entry 3:
Compound: MnCoAu2
Source: Alexandria via LeMat-Bulk
Functional: PBE-GGA
Structure: optimized geometry

Results
For the total energy, the calculation gives -5.432 eV/atom. Its density of states at the Fermi level is 1.037 states/eV/atom. The calculation puts the formation energy at 275.2 meV per atom.

Lattice parameters (Å, degrees): 2.8976 2.8976 26.1334 90.00 90.00 120.00
Space group R-3m (No. 166, hexagonal axes)
Symmetry-distinct sites (fractional):
Mn 0.0000 0.0000 0.0000 [3 per cell]
Co 0.0000 0.0000 0.5000 [3 per cell]
Au 0.0000 0.0000 0.2489 [6 per cell]

---

Entry 4:
Compound: FeSbAs
Source: Alexandria via LeMat-Bulk
Functional: PBE-GGA
Structure: optimized geometry

Results
For the total energy, the calculation gives -5.865 eV/atom. Its density of states at the Fermi level is 0.382 states/eV/atom. For the uncorrected formation energy, the calculation gives -0.36 eV/f.u.

Lattice parameters (Å, degrees): 3.0502 5.5543 6.2638 90.00 90.00 90.00
Space group Pmn2_1 (No. 31)
Symmetry-distinct sites (fractional):
Fe 0.0000 0.2264 0.0000 [2 per cell]
Sb 0.0000 0.4293 0.3652 [2 per cell]
As 0.0000 0.0584 0.6514 [2 per cell]

---

Entry 5:
Compound: MgSnBi2
Source: Alexandria via LeMat-Bulk
Functional: PBE-GGA
Structure: optimized geometry

Results
For the total energy, the calculation gives -3.317 eV/atom. Its density of states at the Fermi level is 0.500 states/eV/atom. The calculation puts the formation energy at 22.9 meV per atom.

Lattice parameters (Å, degrees): 5.0225 5.0225 4.5600 90.00 90.00 90.00
Space group P4/mmm (No. 123)
Symmetry-distinct sites (fractional):
Mg 0.0000 0.0000 0.0000 [1 per cell]
Sn 0.5000 0.5000 0.0000 [1 per cell]
Bi 0.0000 0.5000 0.5000 [2 per cell]

---

Entry 6:
Compound: SmDyBiSe
Source: Alexandria via LeMat-Bulk
Functional: PBE-GGA
Structure: optimized geometry

Results
For the total energy, the calculation gives -5.384 eV/atom. Its density of states at the Fermi level is 0.507 states/eV/atom. For the uncorrected formation energy, the calculation gives -4.85 eV/f.u.

Lattice parameters (Å, degrees): 4.2169 4.2169 22.7831 90.00 90.00 120.00
Space group R3m (No. 160, hexagonal axes)
Symmetry-distinct sites (fractional):
Sm 0.0000 0.0000 0.0000 [3 per cell]
Dy 0.0000 0.0000 0.1630 [3 per cell]
Bi 0.0000 0.0000 0.5785 [3 per cell]
Se 0.0000 0.0000 0.7520 [3 per cell]

---

Entry 7:
Compound: TbErZnCu
Source: Alexandria via LeMat-Bulk
Functional: PBE-GGA
Structure: optimized geometry

Results
For the total energy, the calculation gives -3.940 eV/atom. Its density of states at the Fermi level is 0.698 states/eV/atom. The calculation puts the formation energy at -298.8 meV per atom.

Lattice parameters (Å, degrees): 3.5028 3.5028 7.0511 90.00 90.00 90.00
Space group P4mm (No. 99)
Symmetry-distinct sites (fractional):
Tb 0.0000 0.0000 0.0000 [1 per cell]
Er 0.0000 0.0000 0.4861 [1 per cell]
Zn 0.5000 0.5000 0.7381 [1 per cell]
Cu 0.5000 0.5000 0.2510 [1 per cell]

---

Entry 8:
Compound: KTaTc2
Source: Alexandria via LeMat-Bulk
Functional: PBE-GGA
Structure: optimized geometry

Results
For the total energy, the calculation gives -7.769 eV/atom. Its density of states at the Fermi level is 1.363 states/eV/atom. The calculation puts the formation energy at 651.0 meV per atom.

Lattice parameters (Å, degrees): 3.1761 3.1761 8.6398 90.00 90.00 90.00
Space group P4/mmm (No. 123)
Symmetry-distinct sites (fractional):
K 0.0000 0.0000 0.0000 [1 per cell]
Ta 0.0000 0.0000 0.5000 [1 per cell]
Tc 0.5000 0.5000 0.3332 [2 per cell]

---

Entry 9:
Compound: PaGe2Au
Source: Alexandria via LeMat-Bulk
Functional: PBE-GGA
Structure: optimized geometry

Results
For the total energy, the calculation gives -5.946 eV/atom. Its density of states at the Fermi level is 0.775 states/eV/atom. The calculation puts the formation energy at -444.4 meV per atom.

Lattice parameters (Å, degrees): 4.2035 4.2035 18.3302 90.00 90.00 90.00
Space group I4/mmm (No. 139)
Symmetry-distinct sites (fractional):
Pa 0.0000 0.0000 0.1150 [4 per cell]
Ge 0.0000 0.0000 0.3578 [4 per cell]
Ge 0.0000 0.5000 0.0000 [4 per cell]
Au 0.0000 0.5000 0.2500 [4 per cell]